Material: KCaSbTe2
Method: DFT, SCAN
State: PBEsol geometry

abc: 5.8351 5.8351 5.5475
angles: 90.00 90.00 90.00
Space group P4/mmm (No. 123)
Inequivalent atoms, fractional coordinates:
K: 0.0000 0.0000 0.0000
Ca: 0.5000 0.5000 0.5000
Sb: 0.0000 0.0000 0.5000
Te: 0.0000 0.5000 0.0000

ρ = 4.01 g cm⁻³
raw formation energy = 1.55 eV/f.u.
M_tot = 0.00 μB/f.u.

---

Material: TaAl2Sb
Method: DFT, SCAN
State: PBEsol geometry

abc: 2.9784 2.9784 8.5082
angles: 90.00 90.00 90.00
Space group P4mm (No. 99)
Inequivalent atoms, fractional coordinates:
Ta: 0.0000 0.0000 0.0000
Al: 0.0000 0.0000 0.4440
Al: 0.5000 0.5000 0.2227
Sb: 0.5000 0.5000 0.7401

ρ = 7.85 g cm⁻³
raw formation energy = 0.52 eV/f.u.
M_tot = 0.00 μB/f.u.

---

Material: TlCuH2Ru
Method: DFT, SCAN
State: PBEsol geometry

abc: 3.5869 3.5869 4.8723
angles: 90.00 90.00 90.00
Space group P4/mmm (No. 123)
Inequivalent atoms, fractional coordinates:
Tl: 0.0000 0.0000 0.0000
Cu: 0.5000 0.5000 0.0000
H: 0.0000 0.5000 0.5000
Ru: 0.5000 0.5000 0.5000

ρ = 9.83 g cm⁻³
raw total energy = -25.299 eV/atom
M_tot = 0.41 μB/f.u.

---

Material: InTe2RhI
Method: DFT, SCAN
State: PBEsol geometry

abc: 5.5290 5.5290 5.6519
angles: 90.00 90.00 90.00
Space group P4/mmm (No. 123)
Inequivalent atoms, fractional coordinates:
In: 0.0000 0.0000 0.0000
Te: 0.0000 0.5000 0.0000
Rh: 0.5000 0.5000 0.5000
I: 0.0000 0.0000 0.5000

ρ = 5.76 g cm⁻³
raw formation energy = 4.98 eV/f.u.
M_tot = 2.34 μB/f.u.

---

Material: ZrB3Ir
Method: DFT, SCAN
State: PBEsol geometry

abc: 4.0908 4.0908 4.0908
angles: 90.00 90.00 90.00
Space group Pm-3m (No. 221)
Inequivalent atoms, fractional coordinates:
Zr: 0.0000 0.0000 0.0000
B: 0.0000 0.0000 0.5000
Ir: 0.5000 0.5000 0.5000

ρ = 7.66 g cm⁻³
formation energy from the elements = 11.5 eV/f.u.
M_tot = 0.00 μB/f.u.

---

Material: TcAg2Ir
Method: DFT, SCAN
State: PBEsol geometry

abc: 4.7140 4.7140 2.7435
angles: 90.00 90.00 90.00
Space group P4/mmm (No. 123)
Inequivalent atoms, fractional coordinates:
Tc: 0.0000 0.0000 0.0000
Ag: 0.0000 0.5000 0.5000
Ir: 0.5000 0.5000 0.0000

ρ = 13.78 g cm⁻³
formation energy from the elements = 3.7 eV/f.u.
polymorph energy (0 for the lowest one) = 570 meV/atom
M_tot = 0.01 μB/f.u.

---

Material: GaSb2TeI
Method: DFT, SCAN
State: PBEsol geometry

abc: 5.7399 5.7399 5.7785
angles: 90.00 90.00 90.00
Space group P4/mmm (No. 123)
Inequivalent atoms, fractional coordinates:
Ga: 0.0000 0.0000 0.0000
Sb: 0.0000 0.5000 0.5000
Te: 0.5000 0.5000 0.0000
I: 0.5000 0.5000 0.5000

ρ = 4.95 g cm⁻³
raw formation energy = 5.39 eV/f.u.
M_tot = 1.31 μB/f.u.

---

Material: PtSe2Cl
Method: DFT, SCAN
State: PBEsol geometry

abc: 6.6103 3.7267 6.8385
angles: 90.00 97.54 90.00
Space group C2/m (No. 12)
Inequivalent atoms, fractional coordinates:
Pt: 0.0000 0.0000 0.0000
Se: 0.1869 0.5000 0.1860
Cl: 0.0000 0.5000 0.5000

ρ = 7.72 g cm⁻³
raw formation energy = -1.63 eV/f.u.
polymorph energy (0 for the lowest one) = 8 meV/atom
M_tot = 0.00 μB/f.u.